## i
5
Lattice="3.573 0.000 0.000 0.000 3.573 0.000 0.000 0.000 3.573" Properties=species:S:1:pos:R:3 comment="H3OsSe PBE relaxed" space_group="No. 221" dos_at_fermi_per_ev_cell=2.88 pbc="T T T"
H 0.000 0.000 1.786
H 0.000 1.786 0.000
H 1.786 0.000 0.000
Os 0.000 0.000 0.000
Se 1.786 1.786 1.786

## ii
5
Lattice="3.613 0.000 0.000 0.000 3.613 0.000 0.000 0.000 3.613" Properties=species:S:1:pos:R:3 comment="H3OsSe PBE relaxed" space_group="No. 221" dos_at_fermi_per_ev_cell=2.61 pbc="T T T"
H 0.000 0.000 1.807
H 0.000 1.807 0.000
H 1.807 0.000 0.000
Os 1.807 1.807 1.807
Se 0.000 0.000 0.000

Energy comparison, zero being the most stable, in meV/atom: i 0; ii 889.

## i
4
Lattice="3.316 0.000 0.000 0.000 3.316 0.000 0.000 0.000 7.224" Properties=species:S:1:pos:R:3 comment="Sm2HOs PBE relaxed" space_group="No. 123" dos_at_fermi_per_ev_cell=2.66 pbc="T T T"
Sm 0.000 0.000 1.767
Sm 0.000 0.000 5.457
H 1.658 1.658 3.612
Os 1.658 1.658 0.000

## ii
12
Lattice="4.060 0.000 0.000 -2.030 3.516 0.000 0.000 0.000 17.899" Properties=species:S:1:pos:R:3 comment="Sm2HOs PBE relaxed" space_group="No. 166" dos_at_fermi_per_ev_cell=8.62 pbc="T T T"
Sm 0.000 0.000 4.424
Sm 0.000 0.000 13.475
Sm 0.000 2.344 7.509
Sm 0.000 2.344 16.356
Sm 2.030 1.172 1.543
Sm 2.030 1.172 10.390
H 0.000 0.000 8.949
H 0.000 2.344 2.983
H 2.030 1.172 14.916
Os 0.000 0.000 0.000
Os 0.000 2.344 11.933
Os 2.030 1.172 5.966

Energy comparison, zero being the most stable, in meV/atom: i 0; ii 55.

## i
5
Lattice="4.486 0.000 0.000 0.000 4.486 0.000 0.000 0.000 4.486" Properties=species:S:1:pos:R:3 comment="Sn3HOs PBE relaxed" space_group="No. 221" dos_at_fermi_per_ev_cell=3.30 pbc="T T T"
Sn 0.000 0.000 2.243
Sn 0.000 2.243 0.000
Sn 2.243 0.000 0.000
H 0.000 0.000 0.000
Os 2.243 2.243 2.243

## ii
5
Lattice="5.112 0.000 0.000 0.000 5.112 0.000 0.000 0.000 5.112" Properties=species:S:1:pos:R:3 comment="Sn3HOs PBE relaxed" space_group="No. 221" dos_at_fermi_per_ev_cell=2.52 pbc="T T T"
Sn 0.000 0.000 2.556
Sn 0.000 2.556 0.000
Sn 2.556 0.000 0.000
H 2.556 2.556 2.556
Os 0.000 0.000 0.000

Energy comparison, zero being the most stable, in meV/atom: i 192; ii 0.

## i
16
Lattice="4.583 0.000 0.000 0.000 4.583 0.000 0.000 0.000 10.435" Properties=species:S:1:pos:R:3 comment="SrH2Os PBE relaxed" space_group="No. 122" dos_at_fermi_per_ev_cell=1.63 pbc="T T T"
Sr 0.000 0.000 0.000
Sr 0.000 2.291 2.609
Sr 2.291 0.000 7.826
Sr 2.291 2.291 5.217
H 0.446 1.146 6.522
H 1.146 2.737 9.130
H 1.146 4.136 3.913
H 1.845 1.146 1.304
H 2.737 3.437 1.304
H 3.437 0.446 3.913
H 3.437 1.845 9.130
H 4.136 3.437 6.522
Os 0.000 0.000 5.217
Os 0.000 2.291 7.826
Os 2.291 0.000 2.609
Os 2.291 2.291 0.000

## ii
16
Lattice="5.999 0.000 0.000 0.000 5.999 0.000 0.000 0.000 5.999" Properties=species:S:1:pos:R:3 comment="SrH2Os PBE relaxed" space_group="No. 225" dos_at_fermi_per_ev_cell=15.89 pbc="T T T"
Sr 0.000 0.000 0.000
Sr 0.000 3.000 3.000
Sr 3.000 0.000 3.000
Sr 3.000 3.000 0.000
H 1.500 1.500 1.500
H 1.500 1.500 4.499
H 1.500 4.499 1.500
H 1.500 4.499 4.499
H 4.499 1.500 1.500
H 4.499 1.500 4.499
H 4.499 4.499 1.500
H 4.499 4.499 4.499
Os 0.000 0.000 3.000
Os 0.000 3.000 0.000
Os 3.000 0.000 0.000
Os 3.000 3.000 3.000

Energy comparison, zero being the most stable, in meV/atom: i 0; ii 772.

## i
16
Lattice="7.153 0.000 0.000 0.000 7.153 0.000 0.000 0.000 7.506" Properties=species:S:1:pos:R:3 comment="Sr2HOs PBE relaxed" space_group="No. 122" dos_at_fermi_per_ev_cell=31.30 pbc="T T T"
Sr 1.316 1.788 0.938
Sr 1.788 4.892 2.815
Sr 1.788 5.837 6.568
Sr 2.261 1.788 4.691
Sr 4.892 5.365 4.691
Sr 5.365 1.316 6.568
Sr 5.365 2.261 2.815
Sr 5.837 5.365 0.938
H 0.000 0.000 0.000
H 0.000 3.576 1.877
H 3.576 0.000 5.630
H 3.576 3.576 3.753
Os 0.000 0.000 3.753
Os 0.000 3.576 5.630
Os 3.576 0.000 1.877
Os 3.576 3.576 0.000

## ii
16
Lattice="7.214 0.000 0.000 0.000 7.214 0.000 0.000 0.000 7.214" Properties=species:S:1:pos:R:3 comment="Sr2HOs PBE relaxed" space_group="No. 225" dos_at_fermi_per_ev_cell=28.37 pbc="T T T"
Sr 1.803 1.803 1.803
Sr 1.803 1.803 5.410
Sr 1.803 5.410 1.803
Sr 1.803 5.410 5.410
Sr 5.410 1.803 1.803
Sr 5.410 1.803 5.410
Sr 5.410 5.410 1.803
Sr 5.410 5.410 5.410
H 0.000 0.000 0.000
H 0.000 3.607 3.607
H 3.607 0.000 3.607
H 3.607 3.607 0.000
Os 0.000 0.000 3.607
Os 0.000 3.607 0.000
Os 3.607 0.000 0.000
Os 3.607 3.607 3.607

Energy comparison, zero being the most stable, in meV/atom: i 0; ii 54.

## i
10
Lattice="4.880 0.000 0.000 0.017 5.325 0.000 0.086 2.322 4.822" Properties=species:S:1:pos:R:3 comment="TaHOs3 PBE relaxed" space_group="No. 1" dos_at_fermi_per_ev_cell=5.94 pbc="T T T"
Ta 0.000 0.000 0.000
Ta 1.713 5.537 3.677
H 0.891 5.433 1.825
H 3.463 6.414 4.143
Os 1.668 1.871 1.275
Os 2.488 2.999 3.630
Os 2.481 4.468 1.267
Os 4.136 6.424 2.400
Os 4.112 2.544 0.082
Os 4.924 3.692 2.419

## ii
10
Lattice="6.936 -1.431 0.000 6.936 1.431 0.000 -0.956 0.000 6.639" Properties=species:S:1:pos:R:3 comment="TaHOs3 PBE relaxed" space_group="No. 12" dos_at_fermi_per_ev_cell=6.53 pbc="T T T"
Ta 1.388 0.000 0.287
Ta 11.529 0.000 6.351
H 5.337 0.000 3.193
H 7.580 0.000 3.446
Os 1.849 0.000 3.150
Os 3.786 0.000 1.236
Os 6.630 0.000 1.874
Os 6.287 0.000 4.764
Os 9.130 0.000 5.403
Os 11.068 0.000 3.489

## iii
10
Lattice="4.939 0.000 0.000 -2.432 4.728 0.000 -0.017 -1.658 5.371" Properties=species:S:1:pos:R:3 comment="TaHOs3 PBE relaxed" space_group="No. 2" dos_at_fermi_per_ev_cell=4.78 pbc="T T T"
Ta -0.488 0.920 1.057
Ta 2.978 2.150 4.314
H 1.187 1.110 4.017
H 1.303 1.960 1.354
Os -0.448 0.002 3.721
Os 0.432 3.438 0.361
Os 0.426 2.688 3.047
Os 2.064 0.382 2.323
Os 2.058 -0.368 5.010
Os 2.939 3.068 1.650

Energy comparison, zero being the most stable, in meV/atom: i 5; ii 332; iii 0.